Entry 1:
Entry from Alexandria via LeMat-Bulk: a crystal of InPtSe relaxed with PBEsol (SCAN).

abc: 3.6993 3.6993 8.2717
angles: 90.00 90.00 90.00
Last column: nearest neighbours and their distance in Å.
Space group I4mm (No. 107)
Unique sites:
In 0.0000 0.0000 0.0000 [2 per cell]  5 Se 2.76-2.95, 5 Pt 2.84-2.92
Pt 0.0000 0.0000 0.3433 [2 per cell]  1 Se 2.67, 5 In 2.84-2.92
Se 0.0000 0.0000 0.6659 [2 per cell]  1 Pt 2.67, 5 In 2.76-2.95

Output
magnetization	0.000	μB per atom
formation energy from raw total energies	0.044	eV per atom



Entry 2:
Entry from Alexandria via LeMat-Bulk: a crystal of Li3NiHg relaxed with PBEsol (SCAN).

abc: 4.4557 4.4557 4.4557
angles: 90.00 90.00 90.00
Last column: nearest neighbours and their distance in Å.
Space group Pm-3m (No. 221)
Unique sites:
Li 0.0000 0.0000 0.5000 [3 per cell]  2 Ni 2.23
Ni 0.0000 0.0000 0.0000 [1 per cell]  6 Li 2.23
Hg 0.5000 0.5000 0.5000 [1 per cell]  12 Li 3.15

Output
formation energy from the elements	115	kJ/mol of formula units
magnetization	0.000	μB per atom



Entry 3:
Entry from Alexandria via LeMat-Bulk: a crystal of CsCdTeI2 relaxed with PBEsol (SCAN).

abc: 7.0136 7.0136 7.0490
angles: 90.00 90.00 90.00
Last column: nearest neighbours and their distance in Å.
Space group P4/mmm (No. 123)
Unique sites:
Cs 0.0000 0.0000 0.0000 [1 per cell]  4 I 3.51, 2 Te 3.52
Cd 0.5000 0.5000 0.5000 [1 per cell]  4 Te 4.96, 8 I 4.97
Te 0.0000 0.0000 0.5000 [1 per cell]  2 Cs 3.52
I 0.0000 0.5000 0.0000 [2 per cell]  2 Cs 3.51

Output
excess energy over the best structure of this formula in the dataset	982	meV/atom
magnetization	0.609	μB per atom
formation energy from raw total energies	0.272	eV per atom



Entry 4:
Entry from Alexandria via LeMat-Bulk: a crystal of K2SnH2Cl4O relaxed with PBEsol (SCAN).

abc: 11.7757 8.9778 8.2442
angles: 90.00 90.00 90.00
Last column: nearest neighbours and their distance in Å.
Space group Pnma (No. 62)
Unique sites:
K 0.1822 0.0186 0.1340 [8 per cell]  1 O 2.79
Sn 0.0104 0.2500 0.4834 [4 per cell]  3 Cl 2.60-2.61
H 0.0424 0.2500 0.9290 [4 per cell]  1 O 0.98
H 0.0467 0.7500 0.9283 [4 per cell]  1 O 0.99
Cl 0.0576 0.0512 0.7022 [8 per cell]  1 H 2.59, 1 Sn 2.60
Cl 0.1952 0.7500 0.3986 [4 per cell]  1 Sn 2.61
Cl 0.2325 0.7500 0.9022 [4 per cell]  1 H 2.20
O 0.0360 0.2500 0.0481 [4 per cell]  2 H 0.98-0.99

Output
raw total energy	-451.3	eV for the cell shown
magnetization	0.000	μB per atom